Rb2ZrO3 at its PBEsol-relaxed geometry. Source: the Alexandria database, functional meta-GGA SCAN.

abc: 5.8729 10.7328 7.2983
angles: 90.00 90.00 90.00
Last column: nearest neighbours and their distance in Å.
Fractional positions:
Rb1 0.2405 0.0868 0.1082  6 O 2.79-3.11
Rb2 0.2405 0.4132 0.1082  6 O 2.79-3.11
Rb3 0.2595 0.5868 0.6082  6 O 2.79-3.11
Rb4 0.2595 0.9132 0.6082  6 O 2.79-3.11
Rb5 0.7405 0.0868 0.3918  6 O 2.79-3.11
Rb6 0.7405 0.4132 0.3918  6 O 2.79-3.11
Rb7 0.7595 0.5868 0.8918  6 O 2.79-3.11
Rb8 0.7595 0.9132 0.8918  6 O 2.79-3.11
Zr1 0.2333 0.7500 0.1622  5 O 1.91-2.10
Zr2 0.2667 0.2500 0.6622  5 O 1.91-2.10
Zr3 0.7333 0.7500 0.3378  5 O 1.91-2.10
Zr4 0.7667 0.2500 0.8378  5 O 1.91-2.10
O1 0.0097 0.1251 0.7394  2 Zr 2.09-2.10
O2 0.0097 0.3749 0.7394  2 Zr 2.09-2.10
O3 0.1978 0.7500 0.9016  1 Zr 1.91
O4 0.3022 0.2500 0.4016  1 Zr 1.91
O5 0.4903 0.6251 0.2394  2 Zr 2.09-2.10
O6 0.4903 0.8749 0.2394  2 Zr 2.09-2.10
O7 0.5097 0.1251 0.7606  2 Zr 2.09-2.10
O8 0.5097 0.3749 0.7606  2 Zr 2.09-2.10
O9 0.6978 0.7500 0.5984  1 Zr 1.91
O10 0.8022 0.2500 0.0984  1 Zr 1.91
O11 0.9903 0.6251 0.2606  2 Zr 2.09-2.10
O12 0.9903 0.8749 0.2606  2 Zr 2.09-2.10

Summary:
DFT total energy (eV per atom): -17.845
N(E_F) (states/eV/atom): 0.000
Crystal system: orthorhombic